Compound: ScPa2Zn6
Source: Alexandria via LeMat-Bulk
Functional: PBE-GGA
Structure: relaxed

Properties
Symmetry: P6/mmm

Unit cell a=7.868 b=7.868 c=3.143 alpha=90.00 beta=90.00 gamma=120.00
Sites, in units of the cell vectors:
Sc1 0.000 0.000 0.000
Pa1 0.333 0.667 0.000
Pa2 0.667 0.333 0.000
Zn1 0.000 0.326 0.500
Zn2 0.000 0.674 0.500
Zn3 0.326 0.000 0.500
Zn4 0.326 0.326 0.500
Zn5 0.674 0.000 0.500
Zn6 0.674 0.674 0.500


Compound: Sc2PaZn
Source: Alexandria via LeMat-Bulk
Functional: PBE-GGA
Structure: relaxed

Properties
Symmetry: P4/mmm

Unit cell a=3.238 b=3.238 c=8.244 alpha=90.00 beta=90.00 gamma=90.00
Sites, in units of the cell vectors:
Sc1 0.000 0.000 0.217
Sc2 0.000 0.000 0.783
Pa1 0.500 0.500 0.500
Zn1 0.500 0.500 0.000


Compound: Sc4PaZn5
Source: Alexandria via LeMat-Bulk
Functional: PBE-GGA
Structure: relaxed

Properties
Symmetry: P4/mmm

Unit cell a=3.284 b=3.284 c=17.823 alpha=90.00 beta=90.00 gamma=90.00
Sites, in units of the cell vectors:
Sc1 0.000 0.000 0.096
Sc2 0.000 0.000 0.288
Sc3 0.000 0.000 0.712
Sc4 0.000 0.000 0.904
Pa1 0.000 0.000 0.500
Zn1 0.500 0.500 0.000
Zn2 0.500 0.500 0.192
Zn3 0.500 0.500 0.384
Zn4 0.500 0.500 0.616
Zn5 0.500 0.500 0.808


Here are the calculated E_form numbers, same order: -1.50; -0.48; -2.82 (eV/f.u.).